VASP calculation (PBE) on a relaxed structure of HgSe2SN.

Computed properties:
As for the density of states at the Fermi level: 4.6 states/eV/cell. As for the density: 5.71 g/cm³. The value obtained for the uncorrected formation energy is 8.00 eV per formula unit. The value obtained for the size of the total moment is 1.8 μB/f.u. As for the calculated volume: 23.5 Å³/atom.

```
HgSe2SN
1.0
5.3512 0.0000 0.0000
0.0000 5.3512 0.0000
0.0000 0.0000 4.1120
Hg Se S N
1 2 1 1
Direct
0.0000 0.0000 0.0000
0.0000 0.5000 0.0000
0.5000 0.0000 0.0000
0.5000 0.5000 0.5000
0.0000 0.0000 0.5000
```

VASP calculation (PBE) on a relaxed structure of HgSeS2N.

Computed properties:
As for the density of states at the Fermi level: 3.5 states/eV/cell. As for the density: 5.46 g/cm³. The value obtained for the uncorrected formation energy is 7.87 eV per formula unit. The value obtained for the size of the total moment is 1.8 μB/f.u. As for the calculated volume: 21.7 Å³/atom.

```
HgSeS2N
1.0
5.1224 0.0000 0.0000
0.0000 5.1224 0.0000
0.0000 0.0000 4.1422
Hg Se S N
1 1 2 1
Direct
0.0000 0.0000 0.0000
0.5000 0.5000 0.5000
0.0000 0.5000 0.0000
0.5000 0.0000 0.0000
0.0000 0.0000 0.5000
```